Entry 1:
Below is crystalline NbTe2Rh at its relaxed geometry, with properties calculated at the PBEsol level.

Output
formation energy from raw total energies = -0.1 eV/f.u.
space-group type = Fm-3m (225)

Cell and atoms, written as POSCAR:
```
NbTe2Rh
1.0
4.7524 0.0000 0.0000
2.3762 4.1157 0.0000
2.3762 1.3719 3.8803
Nb Te Rh
1 2 1
Direct
0.0000 0.0000 0.0000
0.2500 0.2500 0.2500
0.7500 0.7500 0.7500
0.5000 0.5000 0.5000
```

Entry 2:
Below is crystalline BeFe2Ru at its relaxed geometry, with properties calculated at the PBEsol level.

Output
DFT formation energy = -0.0608 eV per atom
space-group type = Immm (71)

Cell and atoms, written as POSCAR:
```
BeFe2Ru
1.0
-0.3246 -1.6664 2.2597
1.8386 -2.7511 -1.7647
2.6205 3.5299 1.2119
Ru Fe Be
1 2 1
Direct
0.5000 0.0000 0.0000
0.7393 0.7393 0.4785
0.2607 0.2607 0.5215
0.0000 0.5000 0.0000
```

Respective Fermi-level density of states values: 3.838 3.522 states/eV per cell.
Respective E_tot values: -6.54 -8.09 eV per atom.